a) Compound: Cd2SiP
Source: the Alexandria database
Functional: PBEsol
Structure: optimized geometry

a b c (Å): 4.204 4.204 5.151
angles (deg): 114.09 114.09 90.00
Atoms (fractional coordinates):
Cd1 0.000 0.000 0.000
Cd2 0.750 0.250 0.500
P1 0.500 0.500 0.000
Si1 0.250 0.750 0.500

Values from the calculation:
M_tot	0.00	μB per formula unit
space group	I-4m2



b) Compound: Cd2SiP
Source: the Alexandria database
Functional: PBEsol
Structure: optimized geometry

a b c (Å): 2.836 2.836 10.636
angles (deg): 82.34 82.34 60.00
Atoms (fractional coordinates):
Cd1 0.249 0.249 0.252
Cd2 0.751 0.751 0.748
P1 0.500 0.500 0.500
Si1 0.000 0.000 0.000

Values from the calculation:
M_tot	0.00	μB per formula unit
space group	R-3m



Least stable structure: a)